VASP calculation (PBE-GGA) on an optimized crystal structure of Er4TmTe5.

Computed properties:
symmetry	I4/m
magnetic moment	0.00	Bohr magnetons per cell
crystal system	tetragonal
distance to the lowest polymorph of the same formula	6.5	meV per atom
volume	28.465	Å³/atom

Unit cell a=7.489 b=7.489 c=7.489 alpha=99.47 beta=99.47 gamma=132.15
Atoms (fractional coordinates):
Er 0.092 0.680 0.772
Er 0.320 0.092 0.412
Er 0.680 0.908 0.588
Er 0.908 0.320 0.228
Tm 0.500 0.500 0.000
Te 0.000 0.000 0.000
Te 0.210 0.389 0.598
Te 0.389 0.790 0.179
Te 0.611 0.210 0.821
Te 0.790 0.611 0.402